# TbHo2In2Hg2 | the Alexandria database | GGA-PBE | optimized geometry
data_TbHo2In2Hg2
_chemical_formula_sum 'Tb3 Ho6 In6 Hg6'
_cell_length_a 4.9384
_cell_length_b 4.9384
_cell_length_c 26.4143
_cell_angle_alpha 90.00
_cell_angle_beta 90.00
_cell_angle_gamma 120.00
_symmetry_space_group_name_H-M 'R -3 m'
_symmetry_Int_Tables_number 166
_symmetry_space_group_name_Hall '-R 3 2"'
loop_
_atom_site_label
_atom_site_type_symbol
_atom_site_fract_x
_atom_site_fract_y
_atom_site_fract_z
_atom_site_occupancy
Tb1 Tb 0.0000 0.0000 0.0000 1
Ho1 Ho 0.0000 0.0000 0.1315 1
In1 In 0.0000 0.0000 0.2688 1
Hg1 Hg 0.0000 0.0000 0.4284 1
# **Total DFT energy (no corrections)**: -65.08 eV per cell
# **DFT formation energy**: -1.8 eV/f.u.